(one)
Compound: RbLa3Au
Source: Alexandria
Functional: PBE
Structure: relaxed

Lattice parameters (Å, degrees): 5.6240 5.6240 5.6240 90.00 90.00 90.00
Sites, in units of the cell vectors:
La 0.0000 0.5000 0.0000
La 0.5000 0.0000 0.0000
Au 0.5000 0.5000 0.5000
Rb 0.0000 0.0000 0.0000
La 0.0000 0.0000 0.5000

(two)
Compound: RbLa3Au
Source: Alexandria
Functional: PBE
Structure: relaxed

Lattice parameters (Å, degrees): 6.0364 6.0364 6.0364 90.00 90.00 90.00
Sites, in units of the cell vectors:
La 0.5000 0.0000 0.0000
Rb 0.5000 0.5000 0.5000
Au 0.0000 0.0000 0.0000
La 0.0000 0.0000 0.5000
La 0.0000 0.5000 0.0000

Stability check: which of them is least stable? (one).

(one)
Compound: LaRe2Au
Source: Alexandria
Functional: PBE
Structure: relaxed

Lattice parameters (Å, degrees): 5.5194 5.5194 5.5194 136.41 136.41 63.35
Sites, in units of the cell vectors:
Re 0.0000 0.0000 0.0000
Au 0.2500 0.7500 0.5000
La 0.7500 0.2500 0.5000
Re 0.5000 0.5000 0.0000

(two)
Compound: LaRe2Au
Source: Alexandria
Functional: PBE
Structure: relaxed

Lattice parameters (Å, degrees): 5.8177 5.8177 3.0017 76.69 76.69 121.58
Sites, in units of the cell vectors:
La 0.0000 0.5000 0.5000
Au 0.5000 0.0000 0.5000
Re 0.5000 0.5000 0.0000
Re 0.0000 0.0000 0.0000

(three)
Compound: LaRe2Au
Source: Alexandria
Functional: PBE
Structure: relaxed

Lattice parameters (Å, degrees): 5.3231 5.3231 5.3231 136.74 125.63 71.89
Sites, in units of the cell vectors:
Re 0.9640 0.9640 0.0000
La 0.2320 0.7320 0.5000
Au 0.5133 0.5133 0.0000
Re 0.7907 0.2907 0.5000

(four)
Compound: LaRe2Au
Source: Alexandria
Functional: PBE
Structure: relaxed

Lattice parameters (Å, degrees): 3.3005 4.7129 4.9825 90.00 90.00 90.00
Sites, in units of the cell vectors:
Re 0.5000 0.5000 0.0000
Re 0.0000 0.0000 0.0000
La 0.0000 0.5000 0.5000
Au 0.5000 0.0000 0.5000

Stability check: which of them is least stable? (one).